Crystalline Mg6ScCd2 at its relaxed geometry, computed with PBE.

## Properties
N(E_F): 10.57 states/eV/cell
calculated total energy: -2.05 eV per atom
crystal system: monoclinic
magnetization: 0.0 Bohr magnetons per cell

a b c (Å): 13.727 4.210 7.316
angles (deg): 90.00 108.07 90.00
Space group C2/m (No. 12)
Symmetry-distinct sites (fractional):
Mg1 0.105 0.000 0.157 x4
Mg2 0.170 0.500 0.500 x4
Mg3 0.220 0.000 0.836 x4
Sc1 0.000 0.000 0.500 x2
Cd1 0.057 0.500 0.823 x4

Crystalline Sc3MnOs at its relaxed geometry, computed with PBE.

## Properties
distance to the lowest polymorph of the same formula: 334 meV/atom
N(E_F): 4.85 states/eV/cell
crystal system: cubic
magnetization: 0.0 Bohr magnetons per cell

a b c (Å): 4.588 4.588 4.588
angles (deg): 90.00 90.00 90.00
Space group Pm-3m (No. 221)
Symmetry-distinct sites (fractional):
Sc1 0.000 0.000 0.500 x3
Mn1 0.000 0.000 0.000 x1
Os1 0.500 0.500 0.500 x1